[1]
VASP calculation (GGA+U) on a relaxed structure of CoPO4.

Structure (POSCAR):
```
CoPO4
1.0
5.266 0.000 0.000
0.000 8.762 -0.043
0.000 2.365 8.300
O P Co
16 4 4
direct
0.212 0.026 0.141 O
0.074 0.296 0.273 O
0.694 0.356 0.425 O
0.433 0.990 0.698 O
0.782 0.151 0.770 O
0.567 0.490 0.698 O
0.632 0.246 0.186 O
0.117 0.430 0.638 O
0.926 0.796 0.273 O
0.740 0.867 0.926 O
0.883 0.930 0.638 O
0.260 0.367 0.926 O
0.306 0.856 0.425 O
0.368 0.746 0.186 O
0.218 0.651 0.770 O
0.788 0.526 0.141 O
0.710 0.983 0.759 P
0.203 0.857 0.257 P
0.290 0.483 0.759 P
0.797 0.357 0.257 P
0.293 0.233 0.130 Co
0.210 0.854 0.632 Co
0.707 0.733 0.130 Co
0.790 0.354 0.632 Co
```

Its electronic total energy is -6.7319 eV per atom.

=====

[2]
VASP calculation (GGA+U) on a relaxed structure of Co2PO5.

Structure (POSCAR):
```
Co2PO5
1.0
-4.801 2.371 -0.664
-1.778 -4.344 -2.666
1.385 -1.429 6.875
Co O P
4 10 2
direct
0.000 0.500 0.000 Co
0.000 0.000 0.500 Co
0.500 0.000 0.500 Co
0.000 0.000 0.000 Co
0.694 0.204 0.389 O
0.798 0.306 0.112 O
0.306 0.314 0.610 O
0.202 0.694 0.888 O
0.686 0.694 0.889 O
0.306 0.796 0.611 O
0.123 0.872 0.244 O
0.877 0.128 0.756 O
0.694 0.686 0.390 O
0.314 0.306 0.111 O
0.626 0.376 0.251 P
0.374 0.624 0.749 P
```

Its electronic total energy is -6.6013 eV per atom.

=====

[3]
VASP calculation (GGA+U) on a relaxed structure of CoPO4.

Structure (POSCAR):
```
CoPO4
1.0
-2.118 -3.779 2.040
3.511 -2.920 1.439
0.339 2.640 6.948
O P Co
8 2 2
direct
0.094 0.246 0.203 O
0.193 0.742 0.085 O
0.742 0.193 0.585 O
0.246 0.094 0.703 O
0.258 0.807 0.415 O
0.754 0.906 0.297 O
0.807 0.258 0.915 O
0.906 0.754 0.797 O
0.072 0.928 0.250 P
0.928 0.072 0.750 P
0.500 0.000 0.500 Co
0.000 0.500 0.000 Co
```

Its electronic total energy is -6.6560 eV per atom.

=====

Repeat the second record exactly.
VASP calculation (GGA+U) on a relaxed structure of Co2PO5.

Structure (POSCAR):
```
Co2PO5
1.0
-4.801 2.371 -0.664
-1.778 -4.344 -2.666
1.385 -1.429 6.875
Co O P
4 10 2
direct
0.000 0.500 0.000 Co
0.000 0.000 0.500 Co
0.500 0.000 0.500 Co
0.000 0.000 0.000 Co
0.694 0.204 0.389 O
0.798 0.306 0.112 O
0.306 0.314 0.610 O
0.202 0.694 0.888 O
0.686 0.694 0.889 O
0.306 0.796 0.611 O
0.123 0.872 0.244 O
0.877 0.128 0.756 O
0.694 0.686 0.390 O
0.314 0.306 0.111 O
0.626 0.376 0.251 P
0.374 0.624 0.749 P
```

Its electronic total energy is -6.6013 eV per atom.

=====

Among the records above, which one has the highest electronic total energy?
Co2PO5

=====

Which of these has the lowest electronic total energy?
number 1

=====

Among the records above, which one has the highest electronic total energy?
Co2PO5